# 1
Compound: WSe2Cl
Source: the Alexandria database
Functional: GGA-PBEsol
Structure: optimized geometry

E	-5.390	eV per atom
formation energy (no corrections)	0.489	eV per atom
space-group type	R-3m (166)

```
data_WSe2Cl
_cell_length_a 11.6332
_cell_length_b 11.6332
_cell_length_c 11.6332
_cell_angle_alpha 13.85
_cell_angle_beta 13.85
_cell_angle_gamma 13.85
_symmetry_space_group_name_H-M 'P 1'
_symmetry_Int_Tables_number 1
loop_
_symmetry_equiv_pos_as_xyz
'x,y,z'
loop_
_atom_site_label
_atom_site_fract_x
_atom_site_fract_y
_atom_site_fract_z
W1 0.0000 0.0000 0.0000
Se1 0.0745 0.0745 0.0745
Se2 0.9255 0.9255 0.9255
Cl1 0.5000 0.5000 0.5000
```

# 2
Compound: CaY2In
Source: the Alexandria database
Functional: GGA-PBEsol
Structure: optimized geometry

ΔE_f	-0.239	eV per atom
E	-4.929	eV per atom
space-group type	P4mm (99)

```
data_CaY2In
_cell_length_a 3.5419
_cell_length_b 3.5419
_cell_length_c 9.4766
_cell_angle_alpha 90.00
_cell_angle_beta 90.00
_cell_angle_gamma 90.00
_symmetry_space_group_name_H-M 'P 1'
_symmetry_Int_Tables_number 1
loop_
_symmetry_equiv_pos_as_xyz
'x,y,z'
loop_
_atom_site_label
_atom_site_fract_x
_atom_site_fract_y
_atom_site_fract_z
Ca1 0.0000 0.0000 0.0000
Y1 0.0000 0.0000 0.4402
Y2 0.5000 0.5000 0.7003
In1 0.5000 0.5000 0.2239
```

# 3
Compound: CaSiOs2
Source: the Alexandria database
Functional: GGA-PBEsol
Structure: optimized geometry

E	-7.861	eV per atom
formation energy (no corrections)	0.216	eV per atom
space-group type	Cm (8)

```
data_CaSiOs2
_cell_length_a 5.4393
_cell_length_b 5.4393
_cell_length_c 5.0487
_cell_angle_alpha 113.20
_cell_angle_beta 113.20
_cell_angle_gamma 30.56
_symmetry_space_group_name_H-M 'P 1'
_symmetry_Int_Tables_number 1
loop_
_symmetry_equiv_pos_as_xyz
'x,y,z'
loop_
_atom_site_label
_atom_site_fract_x
_atom_site_fract_y
_atom_site_fract_z
Ca1 0.0000 0.0000 0.0000
Si1 0.8059 0.8059 0.3071
Os1 0.2264 0.2264 0.5919
Os2 0.5101 0.5101 0.5185
```

# 4
Compound: Sr2CaAs
Source: the Alexandria database
Functional: GGA-PBEsol
Structure: optimized geometry

ΔE_f	-0.565	eV per atom
E	-3.295	eV per atom
space-group type	Immm (71)

```
data_Sr2CaAs
_cell_length_a 8.6909
_cell_length_b 8.6909
_cell_length_c 8.6909
_cell_angle_alpha 154.26
_cell_angle_beta 148.94
_cell_angle_gamma 40.76
_symmetry_space_group_name_H-M 'P 1'
_symmetry_Int_Tables_number 1
loop_
_symmetry_equiv_pos_as_xyz
'x,y,z'
loop_
_atom_site_label
_atom_site_fract_x
_atom_site_fract_y
_atom_site_fract_z
Sr1 0.1594 0.1594 0.0000
Sr2 0.8406 0.8406 0.0000
Ca1 0.5000 0.0000 0.5000
As1 0.0000 0.5000 0.5000
```

# 5
Compound: Hg2OsW
Source: the Alexandria database
Functional: GGA-PBEsol
Structure: optimized geometry

ΔE_f	1.006	eV per atom
E	-5.783	eV per atom
space-group type	P4/mmm (123)

```
data_Hg2OsW
_cell_length_a 2.8110
_cell_length_b 2.8110
_cell_length_c 8.6024
_cell_angle_alpha 90.00
_cell_angle_beta 90.00
_cell_angle_gamma 90.00
_symmetry_space_group_name_H-M 'P 1'
_symmetry_Int_Tables_number 1
loop_
_symmetry_equiv_pos_as_xyz
'x,y,z'
loop_
_atom_site_label
_atom_site_fract_x
_atom_site_fract_y
_atom_site_fract_z
Hg1 0.0000 0.0000 0.2444
Hg2 0.0000 0.0000 0.7556
Os1 0.5000 0.5000 0.0000
W1 0.5000 0.5000 0.5000
```

# 6
Compound: LiTl2
Source: the Alexandria database
Functional: GGA-PBEsol
Structure: optimized geometry

ΔE_f	-0.130	eV per atom
E	-2.539	eV per atom
space-group type	Cm (8)

```
data_LiTl2
_cell_length_a 6.0611
_cell_length_b 6.0611
_cell_length_c 7.1806
_cell_angle_alpha 99.88
_cell_angle_beta 99.88
_cell_angle_gamma 33.55
_symmetry_space_group_name_H-M 'P 1'
_symmetry_Int_Tables_number 1
loop_
_symmetry_equiv_pos_as_xyz
'x,y,z'
loop_
_atom_site_label
_atom_site_fract_x
_atom_site_fract_y
_atom_site_fract_z
Li1 0.0000 0.0000 0.0000
Li2 0.7022 0.7022 0.3761
Tl1 0.0700 0.0700 0.5953
Tl2 0.3534 0.3534 0.7024
Tl3 0.4026 0.4026 0.2605
Tl4 0.7031 0.7031 0.9706
```